# 1
Fe2Ni5 | PBE | optimized geometry

Properties
* DOS(E_F): 1.08 states/eV/atom
* total magnetic moment: 17.259 μB per cell
* electronic total energy: -92.2 eV per cell

a b c (Å): 4.3424 6.4671 5.9780
angles (deg): 93.05 111.30 90.00
Closest atoms and distances in Å follow each position.
Atoms (fractional coordinates):
Ni 0.6899 0.5363 0.7174  4 Fe 2.48-2.52, 8 Ni 2.50-2.54
Ni 0.0275 0.0363 0.7174  4 Fe 2.48-2.52, 8 Ni 2.50-2.54
Fe 0.7450 0.6065 0.1494  10 Ni 2.48-2.53, 2 Fe 2.56-2.57
Ni 0.9725 0.9637 0.2826  4 Fe 2.48-2.52, 8 Ni 2.50-2.54
Ni 0.1181 0.6799 0.5735  3 Fe 2.48-2.49, 9 Ni 2.49-2.54
Ni 0.5446 0.8201 0.4265  3 Fe 2.48-2.49, 9 Ni 2.49-2.54
Fe 0.5956 0.8935 0.8506  10 Ni 2.48-2.53, 2 Fe 2.56-2.57
Fe 0.2550 0.3935 0.8506  10 Ni 2.48-2.53, 2 Fe 2.56-2.57
Ni 0.4554 0.1799 0.5735  3 Fe 2.48-2.49, 9 Ni 2.49-2.54
Ni 0.8283 0.2500 0.0000  6 Ni 2.49-2.51, 6 Fe 2.50-2.53
Fe 0.4044 0.1065 0.1494  10 Ni 2.48-2.53, 2 Fe 2.56-2.57
Ni 0.8819 0.3201 0.4265  3 Fe 2.48-2.49, 9 Ni 2.49-2.54
Ni 0.3101 0.4637 0.2826  4 Fe 2.48-2.52, 8 Ni 2.50-2.54
Ni 0.1717 0.7500 0.0000  6 Ni 2.49-2.51, 6 Fe 2.50-2.53

---

# 2
FeNi3 | PBE | optimized geometry

Properties
* DOS(E_F): 1.14 states/eV/atom
* total magnetic moment: 4.513 μB per cell
* electronic total energy: -26.1 eV per cell

a b c (Å): 3.5426 4.3325 3.5416
angles (deg): 65.88 90.00 114.13
Closest atoms and distances in Å follow each position.
Atoms (fractional coordinates):
Ni 0.5000 0.0000 0.5000  8 Ni 2.50, 4 Fe 2.50
Ni 0.7499 0.4999 0.7501  8 Ni 2.50, 4 Fe 2.50
Ni 0.2501 0.5001 0.2499  8 Ni 2.50, 4 Fe 2.50
Fe 0.0000 0.0000 0.0000  12 Ni 2.50

---

# 3
Fe4Ni3 | PBE | optimized geometry

Properties
* DOS(E_F): 0.76 states/eV/atom
* total magnetic moment: 12.593 μB per cell
* electronic total energy: -50.9 eV per cell

a b c (Å): 4.5934 4.5934 4.4871
angles (deg): 90.00 90.00 60.00
Closest atoms and distances in Å follow each position.
Atoms (fractional coordinates):
Ni 0.5000 0.5000 0.0000  4 Ni 2.30, 4 Fe 2.57
Ni 0.0000 0.5000 0.0000  4 Ni 2.30, 4 Fe 2.57
Fe 0.3333 0.3333 0.5000  6 Ni 2.61, 9 Fe 2.65-2.87
Fe 0.0000 0.0000 0.7431  2 Fe 2.18-2.31
Ni 0.5000 0.0000 0.0000  4 Ni 2.30, 4 Fe 2.57
Fe 0.0000 0.0000 0.2569  2 Fe 2.18-2.31
Fe 0.6667 0.6667 0.5000  6 Ni 2.61, 9 Fe 2.65-2.87

---

# 4
Fe4Ni3 | PBE | optimized geometry

Properties
* DOS(E_F): 0.77 states/eV/atom
* total magnetic moment: 24.678 μB per cell
* electronic total energy: -102.8 eV per cell

a b c (Å): 5.0646 7.6419 5.6247
angles (deg): 107.29 102.72 120.58
Closest atoms and distances in Å follow each position.
Atoms (fractional coordinates):
Ni 0.4280 0.7138 0.5717  3 Ni 2.50-2.53, 9 Fe 2.51-2.55
Ni 0.8520 0.4269 0.1413  4 Ni 2.50-2.53, 8 Fe 2.51-2.54
Fe 0.6443 0.5685 0.8561  5 Fe 2.51-2.55, 7 Ni 2.51-2.56
Ni 0.7162 0.8575 0.2888  3 Ni 2.49-2.51, 9 Fe 2.51-2.56
Fe 0.3557 0.4315 0.1439  5 Fe 2.51-2.55, 7 Ni 2.51-2.56
Fe 0.2159 0.8545 0.2875  5 Fe 2.50-2.56, 7 Ni 2.51-2.55
Fe 0.5000 0.0000 0.0000  6 Ni 2.52-2.55, 6 Fe 2.52-2.53
Fe 0.7841 0.1455 0.7125  5 Fe 2.50-2.56, 7 Ni 2.51-2.55
Fe 0.9271 0.7106 0.5689  5 Fe 2.50-2.55, 7 Ni 2.51-2.55
Fe 0.0000 0.0000 0.0000  4 Ni 2.52-2.53, 8 Fe 2.53-2.56
Ni 0.2838 0.1425 0.7112  3 Ni 2.49-2.51, 9 Fe 2.51-2.56
Fe 0.0729 0.2894 0.4311  5 Fe 2.50-2.55, 7 Ni 2.51-2.55
Ni 0.5720 0.2862 0.4283  3 Ni 2.50-2.53, 9 Fe 2.51-2.55
Ni 0.1480 0.5731 0.8587  4 Ni 2.50-2.53, 8 Fe 2.51-2.54

---

Repeat the fourth record exactly.
Fe4Ni3 | PBE | optimized geometry

Properties
* DOS(E_F): 0.77 states/eV/atom
* total magnetic moment: 24.678 μB per cell
* electronic total energy: -102.8 eV per cell

a b c (Å): 5.0646 7.6419 5.6247
angles (deg): 107.29 102.72 120.58
Closest atoms and distances in Å follow each position.
Atoms (fractional coordinates):
Ni 0.4280 0.7138 0.5717  3 Ni 2.50-2.53, 9 Fe 2.51-2.55
Ni 0.8520 0.4269 0.1413  4 Ni 2.50-2.53, 8 Fe 2.51-2.54
Fe 0.6443 0.5685 0.8561  5 Fe 2.51-2.55, 7 Ni 2.51-2.56
Ni 0.7162 0.8575 0.2888  3 Ni 2.49-2.51, 9 Fe 2.51-2.56
Fe 0.3557 0.4315 0.1439  5 Fe 2.51-2.55, 7 Ni 2.51-2.56
Fe 0.2159 0.8545 0.2875  5 Fe 2.50-2.56, 7 Ni 2.51-2.55
Fe 0.5000 0.0000 0.0000  6 Ni 2.52-2.55, 6 Fe 2.52-2.53
Fe 0.7841 0.1455 0.7125  5 Fe 2.50-2.56, 7 Ni 2.51-2.55
Fe 0.9271 0.7106 0.5689  5 Fe 2.50-2.55, 7 Ni 2.51-2.55
Fe 0.0000 0.0000 0.0000  4 Ni 2.52-2.53, 8 Fe 2.53-2.56
Ni 0.2838 0.1425 0.7112  3 Ni 2.49-2.51, 9 Fe 2.51-2.56
Fe 0.0729 0.2894 0.4311  5 Fe 2.50-2.55, 7 Ni 2.51-2.55
Ni 0.5720 0.2862 0.4283  3 Ni 2.50-2.53, 9 Fe 2.51-2.55
Ni 0.1480 0.5731 0.8587  4 Ni 2.50-2.53, 8 Fe 2.51-2.54

---

- Which value of total magnetic moment does entry 2 give?
  4.513 μB per cell

---

- What is the electronic total energy in the third record?
  -50.9 eV per cell